Crystalline ZnGa2C at its relaxed geometry, computed with PBE.

Summary:
Offset from the most stable computed form   0 meV/atom
Calculated total energy   -3.65 eV/atom
Energy of formation   0.489 eV/atom

a = 5.8070 Å, b = 5.8070 Å, c = 5.8070 Å
α = 121.52°, β = 121.52°, γ = 87.38°
Fractional coordinates of all 8 atoms:
1 Zn 0.0000 0.0000 0.0000
2 Zn 0.7500 0.2500 0.5000
3 Ga 0.2137 0.6250 0.0887
4 Ga 0.3750 0.4637 0.5887
5 Ga 0.5363 0.1250 0.9113
6 Ga 0.8750 0.7863 0.4113
7 C 0.2500 0.7500 0.5000
8 C 0.5000 0.5000 0.0000

***

Crystalline ZnGa3C at its relaxed geometry, computed with PBE.

Summary:
Offset from the most stable computed form   0 meV/atom
Calculated total energy   -3.20 eV/atom
Energy of formation   0.711 eV/atom

a = 4.3546 Å, b = 4.3546 Å, c = 4.3546 Å
α = 90.00°, β = 90.00°, γ = 90.00°
Fractional coordinates of all 5 atoms:
1 Zn 0.0000 0.0000 0.0000
2 Ga 0.0000 0.5000 0.5000
3 Ga 0.5000 0.0000 0.5000
4 Ga 0.5000 0.5000 0.0000
5 C 0.5000 0.5000 0.5000

***

Crystalline Zn2Ga2C at its relaxed geometry, computed with PBE.

Summary:
Offset from the most stable computed form   0 meV/atom
Calculated total energy   -2.89 eV/atom
Energy of formation   0.673 eV/atom

a = 5.3916 Å, b = 5.3916 Å, c = 5.7218 Å
α = 90.00°, β = 90.00°, γ = 90.00°
Fractional coordinates of all 10 atoms:
1 Zn 0.1756 0.3244 0.0000
2 Zn 0.3244 0.8244 0.0000
3 Zn 0.6756 0.1756 0.0000
4 Zn 0.8244 0.6756 0.0000
5 Ga 0.1577 0.6577 0.5000
6 Ga 0.3423 0.1577 0.5000
7 Ga 0.6577 0.8423 0.5000
8 Ga 0.8423 0.3423 0.5000
9 C 0.0000 0.0000 0.5000
10 C 0.5000 0.5000 0.5000

***

Crystalline Zn2Ga2C at its relaxed geometry, computed with PBE.

Summary:
Offset from the most stable computed form   400 meV/atom
Calculated total energy   -2.49 eV/atom
Energy of formation   1.073 eV/atom

a = 7.9143 Å, b = 7.9143 Å, c = 7.9143 Å
α = 155.89°, β = 155.89°, γ = 34.35°
Fractional coordinates of all 5 atoms:
1 Zn 0.2500 0.7500 0.5000
2 Zn 0.7500 0.2500 0.5000
3 Ga 0.0821 0.0821 0.0000
4 Ga 0.9179 0.9179 0.0000
5 C 0.5000 0.5000 0.0000

***

| no. | magnetization (μB/atom) |
| --- | --- |
| 1 | 0.0000 |
| 2 | 0.0000 |
| 3 | 0.0000 |
| 4 | 0.0000 |